1.
Here is an optimized crystal structure of ErSiB from OQMD via LeMat-Bulk. Energies are from GGA-PBE.

Unit cell a=3.538 b=3.538 c=4.053 alpha=90.00 beta=90.00 gamma=120.00
Atoms (fractional coordinates):
Er 0.000 0.000 0.000
Si 0.667 0.333 0.500
B 0.333 0.667 0.500

Output
space group = P-6m2, No. 187
polymorph energy (0 for the lowest one) = 0 meV per atom

=====

2.
Here is an optimized crystal structure of NbCuReBi from OQMD via LeMat-Bulk. Energies are from GGA-PBE.

Unit cell a=4.635 b=4.635 c=4.635 alpha=60.00 beta=60.00 gamma=60.00
Atoms (fractional coordinates):
Nb 0.000 0.000 0.000
Cu 0.750 0.750 0.750
Re 0.250 0.250 0.250
Bi 0.500 0.500 0.500

Output
space group = F-43m, No. 216
polymorph energy (0 for the lowest one) = 0 meV per atom

=====

3.
Here is an optimized crystal structure of Tm2Zr from OQMD via LeMat-Bulk. Energies are from GGA-PBE.

Unit cell a=6.217 b=6.217 c=6.217 alpha=60.00 beta=60.00 gamma=60.00
Atoms (fractional coordinates):
Tm 0.000 0.000 0.000
Tm 0.000 0.000 0.500
Tm 0.000 0.500 0.000
Tm 0.500 0.000 0.000
Zr 0.375 0.375 0.375
Zr 0.625 0.625 0.625

Output
space group = Fd-3m, No. 227
ΔH_f (0 K) = 0.4951 eV per atom
polymorph energy (0 for the lowest one) = 419 meV per atom

=====

4.
Here is an optimized crystal structure of LiTcGeMo from OQMD via LeMat-Bulk. Energies are from GGA-PBE.

Unit cell a=4.292 b=4.292 c=4.292 alpha=60.00 beta=60.00 gamma=60.00
Atoms (fractional coordinates):
Li 0.000 0.000 0.000
Tc 0.500 0.500 0.500
Ge 0.250 0.250 0.250
Mo 0.750 0.750 0.750

Output
space group = F-43m, No. 216
polymorph energy (0 for the lowest one) = 0 meV per atom

=====

5.
Here is an optimized crystal structure of Fe3P from OQMD via LeMat-Bulk. Energies are from GGA-PBE.

Unit cell a=4.138 b=4.138 c=4.138 alpha=128.40 beta=128.40 gamma=75.98
Atoms (fractional coordinates):
Fe 0.000 0.000 0.000
Fe 0.250 0.750 0.500
Fe 0.750 0.250 0.500
P 0.500 0.500 0.000

Output
space group = I4/mmm, No. 139
polymorph energy (0 for the lowest one) = 118 meV per atom

=====

6.
Here is an optimized crystal structure of SiIrPb from OQMD via LeMat-Bulk. Energies are from GGA-PBE.

Unit cell a=4.434 b=4.434 c=4.434 alpha=60.00 beta=60.00 gamma=60.00
Atoms (fractional coordinates):
Si 0.000 0.000 0.000
Ir 0.750 0.750 0.750
Pb 0.500 0.500 0.500

Output
space group = F-43m, No. 216
polymorph energy (0 for the lowest one) = 0 meV per atom